(1)
Density functional theory data (SCAN) for a PBEsol-optimized structure of BeAl2CS.

Summary:
**ΔE_f (raw)**: 59.0 kJ per mole of atoms
**Final energy**: -7.305 eV/atom
**Magnetic moment**: 0.000 μB/atom
**Symmetry**: P4/mmm

a b c (Å): 3.1400 4.5527 4.5527
angles (deg): 90.00 90.00 90.00
Closest atoms and distances in Å follow each position.
Sites, in units of the cell vectors:
C 0.5000 0.0000 0.0000  2 Be 1.57
Be 0.0000 0.0000 0.0000  2 C 1.57
Al 0.0000 0.5000 0.0000  2 Be 2.28
Al 0.0000 0.0000 0.5000  2 Be 2.28
S 0.5000 0.5000 0.5000  8 Al 2.77

(2)
Density functional theory data (SCAN) for a PBEsol-optimized structure of Zr2TaOs.

Summary:
**Final energy**: -50.288 eV/atom
**Magnetic moment**: 0.000 μB/atom
**E_form**: -0.32 eV/atom
**Symmetry**: Imm2

a b c (Å): 3.2389 4.6934 5.5826
angles (deg): 114.86 106.86 90.00
Closest atoms and distances in Å follow each position.
Sites, in units of the cell vectors:
Os 0.5061 0.5061 0.0123  2 Ta 2.71, 6 Zr 2.83-2.85
Zr 0.9978 0.9978 0.9957  4 Os 2.85, 2 Ta 3.02, 2 Zr 3.02
Zr 0.7640 0.2640 0.5279  2 Os 2.83, 4 Ta 2.87, 2 Zr 3.02
Ta 0.2321 0.7321 0.4641  2 Os 2.71, 6 Zr 2.87-3.02

(3)
Density functional theory data (SCAN) for a PBEsol-optimized structure of Sc2TeMoAs.

Summary:
**ΔE_f (raw)**: -4.3 kJ per mole of atoms
**Final energy**: -24.205 eV/atom
**Magnetic moment**: 0.003 μB/atom
**Symmetry**: P4/mmm

a b c (Å): 4.6054 4.9826 4.9826
angles (deg): 90.00 90.00 90.00
Closest atoms and distances in Å follow each position.
Sites, in units of the cell vectors:
Mo 0.5000 0.0000 0.0000  2 As 2.30
As 0.0000 0.0000 0.0000  2 Mo 2.30, 4 Sc 2.49
Sc 0.0000 0.0000 0.5000  2 As 2.49
Sc 0.0000 0.5000 0.0000  2 As 2.49
Te 0.5000 0.5000 0.5000  8 Sc 3.39, 4 Mo 3.52